EuAl2Se4: PBEsol geometry, meta-GGA SCAN.

The structure in POSCAR format:
```
EuAl2Se4
1.0
-6.1497 0.3997 -0.7093
2.6013 -5.3559 1.5549
-1.0294 2.4999 10.3331
Se Al Eu
8 4 2
Direct
0.5000 0.5000 0.6730
0.0000 0.5000 0.1730
0.6571 0.8451 0.0000
0.1881 0.8451 0.5000
0.3429 0.1549 0.0000
0.0000 0.5000 0.8270
0.8119 0.1549 0.5000
0.5000 0.5000 0.3270
0.2385 0.4797 0.0000
0.7615 0.5203 0.0000
0.2412 0.4797 0.5000
0.7588 0.5203 0.5000
0.5000 0.0000 0.7500
0.5000 0.0000 0.2500
```

Output
The value obtained for the total energy is -318.68 eV per cell. For the spin magnetization, the calculation gives 14.00 Bohr magnetons per cell. Its crystal system is orthorhombic. The formation energy from raw total energies comes out at -9.8 eV per formula unit.


EuAl2Si2: PBEsol geometry, meta-GGA SCAN.

The structure in POSCAR format:
```
EuAl2Si2
1.0
-0.0966 3.5650 2.1433
-2.0527 -3.3325 1.4118
5.5969 -1.9596 3.5118
Al Si Eu
2 2 1
Direct
0.3333 0.6667 0.6354
0.6667 0.3333 0.3646
0.3333 0.6667 0.2614
0.6667 0.3333 0.7386
0.0000 0.0000 0.0000
```

Output
The value obtained for the total energy is -91.14 eV per cell. For the spin magnetization, the calculation gives 6.96 Bohr magnetons per cell. Its crystal system is trigonal. The formation energy from raw total energies comes out at -1.9 eV per formula unit.


Q: Look up the spin magnetization of the second one.
A: 6.96 Bohr magnetons per cell


Q: Which of these has the lowest formation energy from raw total energies?
A: EuAl2Se4


Q: The lowest formation energy from raw total energies belongs to which entry?
A: EuAl2Se4


Q: The highest formation energy from raw total energies belongs to which entry?
A: EuAl2Si2